The following is a DFT calculation (PBE) of a relaxed NaAcMg2Hg4 crystal.

a = 9.754 Å, b = 9.754 Å, c = 9.754 Å
α = 29.87°, β = 29.87°, γ = 29.87°
Atoms (fractional coordinates):
Na 0.000 0.000 0.000
Ac 0.500 0.500 0.500
Mg 0.260 0.260 0.260
Mg 0.740 0.740 0.740
Hg 0.110 0.110 0.110
Hg 0.373 0.373 0.373
Hg 0.627 0.627 0.627
Hg 0.890 0.890 0.890

Summary:
- electronic total energy (eV/atom) = -1.55


The following is a DFT calculation (PBE) of a relaxed SrYb3 crystal.

a = 5.450 Å, b = 5.450 Å, c = 5.450 Å
α = 90.00°, β = 90.00°, γ = 90.00°
Atoms (fractional coordinates):
Sr 0.000 0.000 0.000
Yb 0.000 0.500 0.500
Yb 0.500 0.000 0.500
Yb 0.500 0.500 0.000

Summary:
- electronic total energy (eV/atom) = -1.62


The following is a DFT calculation (PBE) of a relaxed SrTbY4Se8 crystal.

a = 8.548 Å, b = 8.548 Å, c = 8.548 Å
α = 59.95°, β = 59.95°, γ = 59.95°
Atoms (fractional coordinates):
Sr 0.000 0.000 0.000
Tb 0.373 0.373 0.373
Y 0.373 0.373 0.880
Y 0.373 0.880 0.373
Y 0.750 0.750 0.750
Y 0.880 0.373 0.373
Se 0.138 0.138 0.138
Se 0.138 0.138 0.585
Se 0.138 0.585 0.138
Se 0.148 0.617 0.617
Se 0.585 0.138 0.138
Se 0.617 0.148 0.617
Se 0.617 0.617 0.148
Se 0.617 0.617 0.617

Summary:
- formation energy (no corrections) (eV per atom) = -1.81


The following is a DFT calculation (PBE) of a relaxed LiDySiO4 crystal.

a = 6.027 Å, b = 6.027 Å, c = 6.027 Å
α = 122.41°, β = 110.79°, γ = 96.26°
Atoms (fractional coordinates):
Li 0.500 0.000 0.000
Li 0.500 0.500 0.500
Dy 0.000 0.000 0.000
Dy 0.500 0.000 0.500
Si 0.137 0.387 0.750
Si 0.863 0.613 0.250
O 0.176 0.724 0.452
O 0.229 0.276 0.952
O 0.261 0.273 0.512
O 0.261 0.748 0.988
O 0.739 0.252 0.012
O 0.739 0.727 0.488
O 0.771 0.724 0.048
O 0.824 0.276 0.548

Summary:
- formation energy (no corrections) (eV per atom) = -2.84


The following is a DFT calculation (PBE) of a relaxed Sm5ErRh6 crystal.

a = 7.820 Å, b = 7.820 Å, c = 6.910 Å
α = 90.00°, β = 90.00°, γ = 143.15°
Atoms (fractional coordinates):
Sm 0.000 0.000 0.000
Sm 0.333 0.667 0.000
Sm 0.334 0.666 0.500
Sm 0.666 0.334 0.500
Sm 0.667 0.333 0.000
Er 0.000 0.000 0.500
Rh 0.164 0.836 0.253
Rh 0.164 0.836 0.747
Rh 0.500 0.500 0.256
Rh 0.500 0.500 0.744
Rh 0.836 0.164 0.253
Rh 0.836 0.164 0.747

Summary:
- electronic total energy (eV/atom) = -6.77


The following is a DFT calculation (PBE) of a relaxed La2AsRh crystal.

a = 4.291 Å, b = 4.291 Å, c = 6.077 Å
α = 90.00°, β = 90.00°, γ = 90.00°
Atoms (fractional coordinates):
La 0.000 0.000 0.000
La 0.500 0.500 0.474
As 0.500 0.500 0.973
Rh 0.000 0.000 0.466

Summary:
- electronic total energy (eV/atom) = -6.48